[1]
Material: H2Pd2PtPb2
Method: DFT, GGA-PBE
State: relaxed

It has space group C2/m (No. 12), with a = 9.7346 Å, b = 3.8575 Å, c = 6.1007 Å, α = 90.00°, β = 101.60° and γ = 90.00°. Symmetry generates all atoms from H at (0.1415, 0.0000, 0.3590), Pd at (0.1859, 0.5000, 0.3262), Pt at (0.0000, 0.0000, 0.5000) and Pb at (0.1215, 0.5000, 0.8345).

The value obtained for the total energy is -4.525 eV/atom.


[2]
Material: Y2ScAu2
Method: DFT, GGA-PBE
State: relaxed

It has space group P4/mbm (No. 127), with a = 8.0406 Å, b = 8.0406 Å, c = 3.7694 Å, α = 90.00°, β = 90.00° and γ = 90.00°. Symmetry generates all atoms from Y at (0.1651, 0.3349, 0.0000), Sc at (0.0000, 0.0000, 0.5000) and Au at (0.1349, 0.6349, 0.5000).

The energy above the most stable polymorph in this dataset comes out at 0.0000 eV/atom. The formation energy from the elements is -3.42 eV per formula unit. The value obtained for the total energy is -5.847 eV/atom.


[3]
Material: Cs4Sm3InTe8
Method: DFT, GGA-PBE
State: relaxed

It has space group R-3m (No. 166, hexagonal axes), with a = 9.2222 Å, b = 9.2222 Å, c = 26.8166 Å, α = 90.00°, β = 90.00° and γ = 120.00°. Symmetry generates all atoms from Cs at (0.0000, 0.0000, 0.0000), Cs at (0.0000, 0.5000, 0.0000), Sm at (0.0000, 0.5000, 0.5000), In at (0.0000, 0.0000, 0.5000), Te at (0.0000, 0.0000, 0.2313) and Te at (0.0074, 0.5037, 0.2298).

Its uncorrected formation energy is -1.182 eV/atom. The value obtained for the total energy is -4.023 eV/atom.


[4]
Material: La4GaTeS2
Method: DFT, GGA-PBE
State: relaxed

It has space group P2/m (No. 10), with a = 7.5464 Å, b = 4.2528 Å, c = 7.6270 Å, α = 90.00°, β = 108.56° and γ = 90.00°. Symmetry generates all atoms from La at (0.2272, 0.0000, 0.2311), La at (0.2329, 0.5000, 0.7491), Ga at (0.5000, 0.0000, 0.0000), Te at (0.5000, 0.5000, 0.5000), S at (0.0000, 0.0000, 0.5000) and S at (0.0000, 0.5000, 0.0000).

Its uncorrected formation energy is -1.576 eV/atom. The value obtained for the total energy is -5.842 eV/atom.


[5]
Material: CsSbCl6
Method: DFT, GGA-PBE
State: relaxed

It has space group R-3m (No. 166, hexagonal axes), with a = 7.1794 Å, b = 7.1794 Å, c = 19.3526 Å, α = 90.00°, β = 90.00° and γ = 120.00°. Symmetry generates all atoms from Cs at (0.0000, 0.0000, 0.0000), Sb at (0.0000, 0.0000, 0.5000) and Cl at (0.0165, 0.5082, 0.0947).

The energy above the most stable polymorph in this dataset comes out at 0.0106 eV/atom. Its uncorrected formation energy is -1.075 eV/atom. The value obtained for the total energy is -3.082 eV/atom.


[6]
Material: LaZrCr
Method: DFT, GGA-PBE
State: relaxed

It has space group F-43m (No. 216), with a = 6.7265 Å, b = 6.7265 Å, c = 6.7265 Å, α = 90.00°, β = 90.00° and γ = 90.00°. Symmetry generates all atoms from La at (0.0000, 0.0000, 0.0000), Zr at (0.0000, 0.0000, 0.5000) and Cr at (0.2500, 0.2500, 0.7500).

The energy above the most stable polymorph in this dataset comes out at 0.2623 eV/atom. The formation energy from the elements is 1.96 eV per formula unit. The value obtained for the total energy is -7.045 eV/atom.


[7]
Material: AlTlW
Method: DFT, GGA-PBE
State: relaxed

It has space group P3m1 (No. 156), with a = 4.7631 Å, b = 4.7631 Å, c = 2.7881 Å, α = 90.00°, β = 90.00° and γ = 120.00°. Symmetry generates all atoms from Al at (0.0000, 0.0000, 0.0000), Tl at (0.3333, 0.6667, 0.0298) and W at (0.6667, 0.3333, 0.5203).

The energy above the most stable polymorph in this dataset comes out at 0.2135 eV/atom. The formation energy from the elements is 2.36 eV per formula unit. The value obtained for the total energy is -5.566 eV/atom.


[8]
Material: Sm8Y3Sc
Method: DFT, GGA-PBE
State: relaxed

It has space group I-42m (No. 121), with a = 8.6881 Å, b = 8.6881 Å, c = 11.5393 Å, α = 90.00°, β = 90.00° and γ = 90.00°. Symmetry generates all atoms from Sm at (0.1276, 0.1276, 0.2392), Sm at (0.2353, 0.2353, 0.9739), Y at (0.0000, 0.0000, 0.5000), Y at (0.0000, 0.5000, 0.2500) and Sc at (0.0000, 0.0000, 0.0000).

The formation energy from the elements is 6.95 eV per formula unit. The value obtained for the total energy is -4.710 eV/atom.


- What is the formula in the fourth record?
  La4GaTeS2